Zn2PAu PBE relaxed; energy of formation = 12.4 kJ/mol of atoms; VASP energy = -2.680 eV per atom
1.0
4.074 0.000 0.000
0.000 4.074 0.000
0.000 0.000 7.720
Zn P Au
4 2 2
direct
0.000 0.500 0.250
0.000 0.500 0.750
0.500 0.000 0.250
0.500 0.000 0.750
0.000 0.000 0.000
0.500 0.500 0.500
0.000 0.000 0.500
0.500 0.500 0.000

ZnP2Au PBE relaxed; energy of formation = 14.2 kJ/mol of atoms; VASP energy = -3.696 eV per atom
1.0
3.245 0.000 0.000
0.000 4.975 0.000
-0.291 0.000 4.367
Zn P Au
1 2 1
direct
0.000 0.000 0.000
0.268 0.500 0.175
0.732 0.500 0.825
0.500 0.000 0.500

ZnP2Au PBE relaxed; energy of formation = 37.0 kJ/mol of atoms; VASP energy = -3.459 eV per atom
1.0
3.426 0.000 0.000
0.000 3.568 0.000
0.000 0.000 6.137
Zn P Au
1 2 1
direct
0.000 0.000 0.000
0.000 0.500 0.500
0.500 0.000 0.500
0.500 0.500 0.000

ZnP2Au PBE relaxed; energy of formation = 46.9 kJ/mol of atoms; VASP energy = -3.357 eV per atom
1.0
2.928 0.000 0.000
0.000 2.928 0.000
0.000 0.000 7.649
Zn P Au
1 2 1
direct
0.000 0.000 0.000
0.500 0.500 0.239
0.500 0.500 0.761
0.000 0.000 0.500

Question: Look up the energy of formation of the third one.
Answer: 37.0 kJ/mol of atoms